Density functional theory data (PBE-GGA) for PmP2IrO8 after structural relaxation.

Unit cell a=5.105 b=5.105 c=6.917 alpha=90.00 beta=90.00 gamma=120.00
Fractional positions:
O (0.667, 0.333, 0.492)
O (0.835, 0.165, 0.207)
O (0.669, 0.835, 0.793)
O (0.331, 0.165, 0.207)
O (0.165, 0.835, 0.793)
O (0.835, 0.669, 0.207)
O (0.333, 0.667, 0.508)
O (0.165, 0.331, 0.793)
Pm (0.000, 0.000, 0.500)
Ir (0.000, 0.000, 0.000)
P (0.333, 0.667, 0.730)
P (0.667, 0.333, 0.270)

Calculated values
- magnetization (μB/cell) = 0.00
- ΔE_f (raw) (eV per atom) = -2.097
- space group = No. 164

***

Density functional theory data (PBE-GGA) for Pm3DyRu8 after structural relaxation.

Unit cell a=5.380 b=5.380 c=9.372 alpha=73.32 beta=73.32 gamma=60.00
Fractional positions:
Ru (0.940, 0.434, 0.686)
Ru (0.440, 0.928, 0.191)
Ru (0.928, 0.440, 0.191)
Ru (0.940, 0.940, 0.686)
Ru (0.434, 0.940, 0.686)
Ru (0.690, 0.690, 0.929)
Ru (0.440, 0.440, 0.191)
Ru (0.191, 0.191, 0.428)
Pm (0.999, 0.999, 0.003)
Pm (0.499, 0.499, 0.503)
Pm (0.374, 0.374, 0.878)
Dy (0.874, 0.874, 0.377)

Calculated values
- magnetization (μB/cell) = 0.00
- space group = No. 160
- DFT formation energy (eV/atom) = -0.2032

***

Density functional theory data (PBE-GGA) for Ca7Cd2Sn2 after structural relaxation.

Unit cell a=7.042 b=8.321 c=7.042 alpha=90.00 beta=110.76 gamma=90.00
Fractional positions:
Ca (0.000, 0.289, 0.500)
Ca (0.500, 0.711, 0.000)
Ca (0.000, 0.000, 0.000)
Ca (0.000, 0.711, 0.500)
Ca (0.500, 0.750, 0.500)
Ca (0.500, 0.289, 0.000)
Ca (0.500, 0.250, 0.500)
Sn (0.186, 0.500, 0.186)
Sn (0.814, 0.500, 0.814)
Cd (0.287, 0.000, 0.713)
Cd (0.713, 0.000, 0.287)

Calculated values
- magnetization (μB/cell) = 0.00
- space group = No. 65
- DFT formation energy (eV/atom) = -0.2209

***

Density functional theory data (PBE-GGA) for MgCuCl3 after structural relaxation.

Unit cell a=3.749 b=6.494 c=9.604 alpha=92.34 beta=90.00 gamma=90.00
Fractional positions:
Cl (0.750, 0.778, 0.983)
Cl (0.250, 0.611, 0.675)
Cl (0.250, 0.922, 0.302)
Cl (0.750, 0.078, 0.698)
Cl (0.750, 0.389, 0.325)
Cl (0.250, 0.222, 0.017)
Mg (0.250, 0.926, 0.837)
Mg (0.750, 0.074, 0.163)
Cu (0.250, 0.578, 0.309)
Cu (0.750, 0.422, 0.691)

Calculated values
- magnetization (μB/cell) = 0.00
- ΔE_f (raw) (eV per atom) = -1.253
- energy above the lowest structure with this stoichiometry (eV/atom) = 0.000
- space group = No. 11

***

Density functional theory data (PBE-GGA) for Th8TcPt3Se4 after structural relaxation.

Unit cell a=8.308 b=8.754 c=8.308 alpha=118.34 beta=120.00 gamma=90.00
Fractional positions:
Pt (0.000, 0.500, 0.500)
Pt (0.500, 0.500, 0.000)
Pt (0.500, 0.500, 0.500)
Th (0.258, 0.275, 0.516)
Th (0.751, 0.724, 0.988)
Th (0.764, 0.276, 0.527)
Th (0.236, 0.724, 0.473)
Th (0.764, 0.276, 0.012)
Th (0.236, 0.724, 0.988)
Th (0.742, 0.725, 0.484)
Th (0.249, 0.276, 0.012)
Se (0.000, 0.000, 0.500)
Se (0.000, 0.000, 0.000)
Se (0.500, 0.000, 0.000)
Se (0.500, 0.000, 0.500)
Tc (0.000, 0.500, 0.000)

Calculated values
- magnetization (μB/cell) = 0.00
- ΔE_f (raw) (eV per atom) = -1.238
- space group = No. 166

***

Density functional theory data (PBE-GGA) for Tb3CuBr3 after structural relaxation.

Unit cell a=10.060 b=10.060 c=10.060 alpha=109.47 beta=109.47 gamma=109.47
Fractional positions:
Tb (0.736, 0.264, 0.750)
Tb (0.527, 0.264, 0.014)
Tb (0.986, 0.750, 0.014)
Tb (0.514, 0.027, 0.264)
Tb (0.764, 0.750, 0.236)
Tb (0.736, 0.473, 0.486)
Tb (0.250, 0.236, 0.264)
Tb (0.250, 0.014, 0.486)
Tb (0.514, 0.486, 0.750)
Tb (0.764, 0.014, 0.027)
Tb (0.973, 0.486, 0.236)
Tb (0.986, 0.236, 0.473)
Br (0.016, 0.508, 0.758)
Br (0.258, 0.742, 0.250)
Br (0.258, 0.516, 0.508)
Br (0.242, 0.250, 0.758)
Br (0.750, 0.758, 0.742)
Br (0.492, 0.984, 0.742)
Br (0.484, 0.742, 0.992)
Br (0.008, 0.250, 0.992)
Br (0.242, 0.992, 0.984)
Br (0.492, 0.508, 0.250)
Br (0.008, 0.758, 0.516)
Br (0.750, 0.992, 0.508)
Cu (0.750, 0.500, 0.000)
Cu (0.500, 0.250, 0.500)
Cu (0.750, 0.250, 0.250)
Cu (0.000, 0.000, 0.250)

Calculated values
- magnetization (μB/cell) = 0.00
- ΔE_f (raw) (eV per atom) = -1.117
- space group = No. 214

***

Density functional theory data (PBE-GGA) for KHfPb2 after structural relaxation.

Unit cell a=3.444 b=3.444 c=12.023 alpha=81.77 beta=81.77 gamma=60.00
Fractional positions:
Hf (0.500, 0.500, 0.500)
Pb (0.904, 0.904, 0.287)
Pb (0.096, 0.096, 0.713)
K (0.000, 0.000, 0.000)

Calculated values
- magnetization (μB/cell) = 0.00
- energy above the lowest structure with this stoichiometry (eV/atom) = 0.110
- space group = No. 166
- DFT formation energy (eV/atom) = 0.1530

***

Density functional theory data (PBE-GGA) for Ac4Ce3SmP8 after structural relaxation.

Unit cell a=8.526 b=8.556 c=8.526 alpha=119.89 beta=120.00 gamma=90.00
Fractional positions:
P (0.756, 0.271, 0.015)
P (0.756, 0.271, 0.512)
P (0.258, 0.273, 0.515)
P (0.259, 0.271, 0.015)
P (0.244, 0.729, 0.985)
P (0.741, 0.729, 0.985)
P (0.742, 0.727, 0.485)
P (0.244, 0.729, 0.488)
Ce (0.500, 0.500, 0.000)
Ce (0.000, 0.500, 0.500)
Ce (0.500, 0.500, 0.500)
Ac (0.500, 0.000, 0.500)
Ac (0.000, 0.000, 0.000)
Ac (0.500, 0.000, 0.000)
Ac (0.000, 0.000, 0.500)
Sm (0.000, 0.500, 0.000)

Calculated values
- magnetization (μB/cell) = 1.72
- space group = No. 166
- DFT formation energy (eV/atom) = -1.4672

***

| no. | mass density (g cm⁻³) | density of states at the Fermi level (states/eV/cell) | electronic total energy (eV per atom) |
| --- | --- | --- | --- |
| 1 | 5.61 | 0.000 | -7.439 |
| 2 | 10.54 | 15.426 | -7.958 |
| 3 | 3.20 | 11.426 | -2.389 |
| 4 | 2.76 | 0.000 | -3.499 |
| 5 | 10.83 | 11.892 | -7.599 |
| 6 | 6.61 | 21.861 | -4.404 |
| 7 | 8.62 | 3.056 | -4.464 |
| 8 | 6.51 | 16.364 | -6.607 |